NpAl2InAu4 after structural relaxation. Source: the Alexandria database, functional GGA-PBE.

Cell lengths 4.4027, 4.4027, 10.0485 Å; angles 77.35, 77.35, 60.00 degrees
Closest atoms and distances in Å follow each position.
Element x y z (fractional)
In: 0.5000 0.5000 0.5000  8 Au 2.93-3.15
Al: 0.7485 0.7485 0.7544  6 Au 2.63-2.74
Al: 0.2515 0.2515 0.2456  6 Au 2.63-2.74
Au: 0.8832 0.8832 0.3505  3 Al 2.74, 3 In 2.93, 3 Au 3.06
Au: 0.3920 0.3920 0.8241  3 Al 2.63
Au: 0.1168 0.1168 0.6495  3 Al 2.74, 3 In 2.93, 3 Au 3.06
Au: 0.6080 0.6080 0.1759  3 Al 2.63
Np: 0.0000 0.0000 0.0000  8 Au 3.06-3.41

Summary:
SG	No. 166
energy	-4.78	eV per atom

AlInAu2O6 after structural relaxation. Source: the Alexandria database, functional GGA-PBE.

Cell lengths 5.9841, 7.0208, 7.0208 Å; angles 65.43, 76.19, 76.19 degrees
Closest atoms and distances in Å follow each position.
Element x y z (fractional)
Au: 0.2758 0.8705 0.6104  4 O 2.00-2.10
Au: 0.7758 0.6104 0.8705  4 O 2.00-2.10
Au: 0.2242 0.3896 0.1295  4 O 2.00-2.10
Au: 0.7242 0.1295 0.3896  4 O 2.00-2.10
In: 0.7500 0.1372 0.8628  6 O 2.09-2.34
In: 0.2500 0.8628 0.1372  6 O 2.09-2.34
O: 0.6479 0.8260 0.0028  1 Al 1.98, 1 Au 2.00, 1 In 2.16
O: 0.9390 0.3882 0.7492  1 Al 1.83, 1 Au 2.02
O: 0.3521 0.1740 0.9972  1 Al 1.98, 1 Au 2.00, 1 In 2.16
O: 0.7102 0.4475 0.2008  2 Au 2.06-2.10, 1 Al 2.27
O: 0.1479 0.0028 0.8260  1 Al 1.98, 1 Au 2.00, 1 In 2.16
O: 0.7898 0.7992 0.5525  2 Au 2.06-2.10, 1 Al 2.27
O: 0.2102 0.2008 0.4475  2 Au 2.06-2.10, 1 Al 2.27
O: 0.5610 0.2508 0.6118  1 Al 1.83, 1 Au 2.02
O: 0.2898 0.5525 0.7992  2 Au 2.06-2.10, 1 Al 2.27
O: 0.8521 0.9972 0.1740  1 Al 1.98, 1 Au 2.00, 1 In 2.16
O: 0.4390 0.7492 0.3882  1 Al 1.83, 1 Au 2.02
O: 0.0610 0.6118 0.2508  1 Al 1.83, 1 Au 2.02
Al: 0.2500 0.2826 0.7174  4 O 1.83-1.98
Al: 0.7500 0.7174 0.2826  4 O 1.83-1.98

Summary:
SG	No. 15
ΔE_f (raw)	-989	meV per atom

Al2InOsAu after structural relaxation. Source: the Alexandria database, functional GGA-PBE.

Cell lengths 4.8719, 4.9672, 4.8719 Å; angles 90.00, 90.00, 90.00 degrees
Closest atoms and distances in Å follow each position.
Element x y z (fractional)
Au: 0.5000 0.5000 0.5000  4 Os 3.44, 8 Al 3.48
In: 0.0000 0.0000 0.0000  4 Al 2.44, 2 Os 2.48
Al: 0.0000 0.0000 0.5000  2 In 2.44
Al: 0.5000 0.0000 0.0000  2 In 2.44
Os: 0.0000 0.5000 0.0000  2 In 2.48

Summary:
SG	No. 123
energy	-3.33	eV per atom

Al2InPb2Au7 after structural relaxation. Source: the Alexandria database, functional GGA-PBE.

Cell lengths 4.4896, 4.4896, 13.1610 Å; angles 83.43, 83.43, 79.71 degrees
Closest atoms and distances in Å follow each position.
Element x y z (fractional)
Au: 0.5359 0.0375 0.8446  2 Al 2.58-2.59, 2 Au 2.87-2.89
Au: 0.6605 0.6605 0.5541  1 Al 2.51, 1 Au 2.80
Au: 0.3395 0.3395 0.4459  1 Al 2.51, 1 Au 2.80
Au: 0.4641 0.9625 0.1554  2 Al 2.58-2.59, 2 Au 2.87-2.89
Au: 0.5000 0.5000 0.0000  2 In 2.88, 8 Au 2.99-3.05
Au: 0.0375 0.5359 0.8446  2 Al 2.58-2.59, 2 Au 2.87-2.89
Au: 0.9625 0.4641 0.1554  2 Al 2.58-2.59, 2 Au 2.87-2.89
Pb: 0.9568 0.9568 0.3598  6 Au 3.02-3.32, 2 Al 3.21
Pb: 0.0432 0.0432 0.6402  6 Au 3.02-3.32, 2 Al 3.21
Al: 0.5637 0.5637 0.7459  5 Au 2.51-2.59
Al: 0.4363 0.4363 0.2541  5 Au 2.51-2.59
In: 0.0000 0.0000 0.0000  10 Au 2.88-3.05

Summary:
SG	No. 12
energy	-3.54	eV per atom

Al2In2Pd5Au after structural relaxation. Source: the Alexandria database, functional GGA-PBE.

Cell lengths 3.6743, 9.6679, 9.6679 Å; angles 90.00, 90.00, 90.00 degrees
Closest atoms and distances in Å follow each position.
Element x y z (fractional)
Al: 0.0000 0.3726 0.1274  6 Pd 2.51-2.53, 1 In 2.75
Al: 0.0000 0.6274 0.8726  6 Pd 2.51-2.53, 1 In 2.75
Al: 0.0000 0.8726 0.3726  6 Pd 2.51-2.53, 1 In 2.75
Al: 0.0000 0.1274 0.6274  6 Pd 2.51-2.53, 1 In 2.75
Pd: 0.5000 0.4135 0.2989  2 Al 2.51, 2 Au 2.80
Pd: 0.5000 0.5000 0.0000  4 Al 2.53
Pd: 0.5000 0.9135 0.2011  2 Al 2.51, 2 Au 2.80
Pd: 0.5000 0.7011 0.4135  2 Al 2.51, 2 Au 2.80
Pd: 0.5000 0.5865 0.7011  2 Al 2.51, 2 Au 2.80
Pd: 0.5000 0.0865 0.7989  2 Al 2.51, 2 Au 2.80
Pd: 0.5000 0.2989 0.5865  2 Al 2.51, 2 Au 2.80
Pd: 0.5000 0.2011 0.0865  2 Al 2.51, 2 Au 2.80
Pd: 0.5000 0.7989 0.9135  2 Al 2.51, 2 Au 2.80
Pd: 0.5000 0.0000 0.5000  4 Al 2.53
In: 0.0000 0.1715 0.3285  3 Al 2.75-2.92, 6 Pd 2.98-2.99
In: 0.0000 0.8285 0.6715  3 Al 2.75-2.92, 6 Pd 2.98-2.99
In: 0.0000 0.3285 0.8285  3 Al 2.75-2.92, 6 Pd 2.98-2.99
In: 0.0000 0.6715 0.1715  3 Al 2.75-2.92, 6 Pd 2.98-2.99
Au: 0.0000 0.5000 0.5000  8 Pd 2.80
Au: 0.0000 0.0000 0.0000  8 Pd 2.80

Summary:
SG	No. 127
energy	-4.67	eV per atom

Pm2Al4InAu3 after structural relaxation. Source: the Alexandria database, functional GGA-PBE.

Cell lengths 4.4010, 4.4010, 10.7915 Å; angles 90.00, 90.00, 90.00 degrees
Closest atoms and distances in Å follow each position.
Element x y z (fractional)
Pm: 0.5000 0.0000 0.2438  8 Al 3.33-3.43, 6 Au 3.37-3.53, 2 In 3.53
Pm: 0.0000 0.5000 0.7562  8 Al 3.33-3.43, 6 Au 3.37-3.53, 2 In 3.53
Al: 0.0000 0.0000 0.0000  4 Au 2.58
Al: 0.5000 0.5000 0.0000  4 Au 2.58
Al: 0.5000 0.0000 0.6465  3 Au 2.47-2.71, 2 In 2.71
Al: 0.0000 0.5000 0.3535  3 Au 2.47-2.71, 2 In 2.71
In: 0.5000 0.5000 0.5000  4 Al 2.71
Au: 0.0000 0.0000 0.5000  4 Al 2.71
Au: 0.0000 0.5000 0.1248  5 Al 2.47-2.58
Au: 0.5000 0.0000 0.8752  5 Al 2.47-2.58

Summary:
SG	No. 115
energy	-4.36	eV per atom

PmAlInAu after structural relaxation. Source: the Alexandria database, functional GGA-PBE.

Cell lengths 5.0392, 5.0392, 5.0392 Å; angles 60.00, 60.00, 60.00 degrees
Closest atoms and distances in Å follow each position.
Element x y z (fractional)
Al: 0.7500 0.7500 0.7500  4 In 3.09, 4 Pm 3.09
Au: 0.2500 0.2500 0.2500  4 In 3.09, 4 Pm 3.09
Pm: 0.0000 0.0000 0.0000  4 Au 3.09, 4 Al 3.09
In: 0.5000 0.5000 0.5000  4 Al 3.09, 4 Au 3.09

Summary:
SG	No. 216
energy	-4.04	eV per atom

PmAl2InAu4 after structural relaxation. Source: the Alexandria database, functional GGA-PBE.

Cell lengths 4.4079, 4.4079, 10.1393 Å; angles 77.45, 77.45, 60.00 degrees
Closest atoms and distances in Å follow each position.
Element x y z (fractional)
Al: 0.7507 0.7507 0.7478  6 Au 2.64-2.72
Al: 0.2493 0.2493 0.2522  6 Au 2.64-2.72
Au: 0.3940 0.3940 0.8180  3 Al 2.64
Au: 0.8831 0.8831 0.3506  3 Al 2.72, 3 In 2.94, 3 Au 3.04
Au: 0.1169 0.1169 0.6494  3 Al 2.72, 3 In 2.94, 3 Au 3.04
Au: 0.6060 0.6060 0.1820  3 Al 2.64
In: 0.5000 0.5000 0.5000  8 Au 2.94-3.12
Pm: 0.0000 0.0000 0.0000  8 Au 3.11-3.44

Summary:
SG	No. 166
energy	-4.01	eV per atom